Entry 1:
12
Lattice="5.850 -0.026 0.000 -2.386 5.342 0.000 -1.732 -2.658 4.916" Properties=species:S:1:pos:R:3 comment="V4PH PBE optimized geometry" crystal_system=tetragonal dos_at_fermi_per_ev_cell=13.836 total_energy_ev_per_atom=-7.549 total_magnetization_mub_per_fu=0.00 pbc="T T T"
H 0.919 1.410 0.000
H -2.006 1.423 2.458
V -2.227 3.195 3.610
V -0.296 1.936 1.305
V -1.034 0.524 3.763
V 2.629 1.923 1.153
V 3.449 -2.062 4.015
V 2.256 0.609 3.358
V 3.765 -0.374 1.557
V 0.839 -0.361 0.900
P -0.413 3.868 2.458
P 2.512 3.854 0.000

Entry 2:
13
Lattice="4.644 0.000 -0.253 0.000 4.984 0.000 -2.128 -2.492 6.353" Properties=species:S:1:pos:R:3 comment="V8P2H3 PBE optimized geometry" crystal_system=monoclinic dos_at_fermi_per_ev_cell=8.631 total_energy_ev_per_atom=-7.443 total_magnetization_mub_per_fu=0.00 pbc="T T T"
V 3.005 0.000 3.553
V 1.742 1.263 1.115
V 0.773 -1.228 4.985
V 3.931 0.000 0.857
V 0.773 1.228 4.985
V -0.490 2.492 2.547
V -1.416 2.492 5.243
V 1.742 3.720 1.115
P 0.602 0.000 2.941
P 1.913 2.492 3.159
H 0.000 1.283 0.000
H 0.000 3.701 0.000
H 2.322 0.000 -0.126

Entry 3:
5
Lattice="3.743 0.000 0.000 0.000 3.743 0.000 0.000 0.000 3.743" Properties=species:S:1:pos:R:3 comment="V3PH PBE optimized geometry" crystal_system=cubic dos_at_fermi_per_ev_cell=3.333 de_polymorph_kj_per_mol_atoms=0.0 total_magnetization_mub_per_fu=0.00 pbc="T T T"
P 1.871 1.871 1.871
V 0.000 1.871 0.000
V 1.871 0.000 0.000
V 0.000 0.000 1.871
H 0.000 0.000 0.000

Entry 4:
16
Lattice="-2.327 3.422 0.035 -3.388 -4.809 0.382 0.646 0.337 9.974" Properties=species:S:1:pos:R:3 comment="V5P2H PBE optimized geometry" crystal_system=orthorhombic dos_at_fermi_per_ev_cell=9.178 total_energy_ev_per_atom=-7.574 total_magnetization_mub_per_fu=0.00 pbc="T T T"
P -4.334 -0.487 4.165
P -0.559 -0.472 8.934
P -4.509 -0.579 1.457
P -0.735 -0.563 6.226
V -2.661 -1.817 0.759
V -2.662 0.634 5.690
V -2.809 0.565 2.670
V -0.723 -0.505 1.267
V -2.260 -1.615 7.721
V -2.407 0.767 9.632
V -0.555 -0.417 3.861
V -2.406 -1.684 4.701
V -4.345 -0.546 9.124
V -4.513 -0.633 6.530
H -3.303 0.177 7.728
H -1.765 -1.228 2.663

Entry 5:
14
Lattice="3.118 0.000 0.000 -1.559 4.491 0.000 0.000 0.000 9.852" Properties=species:S:1:pos:R:3 comment="V4PH2 PBE optimized geometry" crystal_system=orthorhombic dos_at_fermi_per_ev_cell=10.354 de_polymorph_kj_per_mol_atoms=0.0 total_magnetization_mub_per_fu=0.00 pbc="T T T"
V 1.559 0.000 4.926
V 1.559 0.000 0.000
V 0.000 1.891 8.825
V 0.000 0.890 2.463
V 1.559 3.601 7.389
V 0.000 1.891 5.954
V 1.559 2.600 3.899
V 1.559 2.600 1.028
H 1.559 3.341 9.216
H 0.000 1.150 0.636
H 1.559 3.341 5.562
H 0.000 1.150 4.290
P 1.559 0.892 7.389
P 0.000 3.599 2.463

Entry 6:
9
Lattice="-0.421 -3.016 1.018 4.094 -1.301 2.903 -1.131 0.847 7.107" Properties=species:S:1:pos:R:3 comment="V6PH2 PBE optimized geometry" crystal_system=monoclinic dos_at_fermi_per_ev_cell=5.582 total_energy_ev_per_atom=-7.519 total_magnetization_mub_per_fu=0.00 pbc="T T T"
H 0.177 -2.519 2.737
H 2.365 -0.951 8.291
V 2.717 -3.921 4.698
V 0.143 -1.950 4.409
V 2.399 -1.520 6.619
V 1.676 -2.195 9.383
V -0.175 0.451 6.330
V 0.866 -1.275 1.645
P 1.481 -0.227 5.005